No. 1
Computed, not measured: an optimized crystal structure of Er5Hg2Rh2 at the PBE-GGA level of DFT.

Structure (CIF):
```
data_Er5Hg2Rh2
_chemical_formula_sum 'Er20 Hg8 Rh8'
_cell_length_a 15.7190
_cell_length_b 7.4168
_cell_length_c 7.5567
_cell_angle_alpha 90.00
_cell_angle_beta 90.00
_cell_angle_gamma 90.00
_symmetry_space_group_name_H-M 'C m c e'
_symmetry_Int_Tables_number 64
_symmetry_space_group_name_Hall '-C 2ac 2'
loop_
_atom_site_label
_atom_site_type_symbol
_atom_site_fract_x
_atom_site_fract_y
_atom_site_fract_z
Er1 Er 0.0000 0.0000 0.0000
Er2 Er 0.1227 0.1705 0.3300
Hg1 Hg 0.2142 0.0000 0.0000
Rh1 Rh 0.0000 0.1327 0.6352
```

## Properties
Calculated total energy: -4.895 eV per atom
Formation energy from the elements: -0.66 eV per atom

No. 2
Computed, not measured: an optimized crystal structure of Pm3Pr5Ho2 at the PBE-GGA level of DFT.

Structure (CIF):
```
data_Pm3Pr5Ho2
_chemical_formula_sum 'Pm12 Pr20 Ho8'
_cell_length_a 9.5661
_cell_length_b 13.8274
_cell_length_c 11.1922
_cell_angle_alpha 90.00
_cell_angle_beta 90.00
_cell_angle_gamma 90.00
_symmetry_space_group_name_H-M 'I b a m'
_symmetry_Int_Tables_number 72
_symmetry_space_group_name_Hall '-I 2 2c'
loop_
_atom_site_label
_atom_site_type_symbol
_atom_site_fract_x
_atom_site_fract_y
_atom_site_fract_z
Pm1 Pm 0.0000 0.0000 0.2500
Pm2 Pm 0.2495 0.3747 0.0000
Pr1 Pr 0.0000 0.2484 0.2500
Pr2 Pr 0.0000 0.5000 0.2500
Pr3 Pr 0.1037 0.3768 0.5000
Ho1 Ho 0.0839 0.1230 0.0000
```

## Properties
Calculated total energy: -4.380 eV per atom
Formation energy from the elements: 0.35 eV per atom
Energy relative to the lowest polymorph listed for this composition: 183.2 meV per atom

No. 3
Computed, not measured: an optimized crystal structure of Cs3Sc2Te4 at the PBE-GGA level of DFT.

Structure (CIF):
```
data_Cs3Sc2Te4
_chemical_formula_sum 'Cs12 Sc8 Te16'
_cell_length_a 16.7939
_cell_length_b 12.3033
_cell_length_c 8.2057
_cell_angle_alpha 90.00
_cell_angle_beta 94.37
_cell_angle_gamma 90.00
_symmetry_space_group_name_H-M 'C 1 2/c 1'
_symmetry_Int_Tables_number 15
loop_
_symmetry_equiv_pos_as_xyz
'x,y,z'
'-x,-y,-z'
'-x,y,-z+1/2'
'x,-y,z+1/2'
'x+1/2,y+1/2,z'
'-x+1/2,-y+1/2,-z'
'-x+1/2,y+1/2,-z+1/2'
'x+1/2,-y+1/2,z+1/2'
loop_
_atom_site_label
_atom_site_type_symbol
_atom_site_fract_x
_atom_site_fract_y
_atom_site_fract_z
Cs1 Cs 0.0000 0.0931 0.2500
Cs2 Cs 0.1162 0.3657 0.5383
Sc1 Sc 0.2144 0.1275 0.9384
Te1 Te 0.1220 0.3117 0.0205
Te2 Te 0.1769 0.0658 0.6069
```

## Properties
Calculated total energy: -4.228 eV per atom
Formation energy from raw total energies: -1140 meV per atom

No. 4
Computed, not measured: an optimized crystal structure of MnAlBr6 at the PBE-GGA level of DFT.

Structure (CIF):
```
data_MnAlBr6
_chemical_formula_sum 'Mn1 Al1 Br6'
_cell_length_a 6.4453
_cell_length_b 6.4853
_cell_length_c 6.8518
_cell_angle_alpha 61.84
_cell_angle_beta 65.24
_cell_angle_gamma 63.12
_symmetry_space_group_name_H-M 'P -1'
_symmetry_Int_Tables_number 2
loop_
_symmetry_equiv_pos_as_xyz
'x,y,z'
'-x,-y,-z'
loop_
_atom_site_label
_atom_site_type_symbol
_atom_site_fract_x
_atom_site_fract_y
_atom_site_fract_z
Mn1 Mn 0.0000 0.0000 0.0000
Al1 Al 0.5000 0.5000 0.5000
Br1 Br 0.0992 0.3876 0.7594
Br2 Br 0.2439 0.9065 0.2513
Br3 Br 0.4190 0.7281 0.7314
```

## Properties
Calculated total energy: -3.586 eV per atom
Energy relative to the lowest polymorph listed for this composition: 116.3 meV per atom
Formation energy from raw total energies: -718 meV per atom

Look up the calculated total energy of the second one.
-4.380 eV per atom

Which value of calculated total energy does entry 3 give?
-4.228 eV per atom